This record from Alexandria via LeMat-Bulk describes a geometry-optimized Pm2Dy2Ho4Tm structure. The functional is GGA-PBE.

It has space group C2/m (No. 12), with a = 18.5901 Å, b = 3.5828 Å, c = 9.5209 Å, α = 90.00°, β = 115.70° and γ = 90.00°. The inequivalent atoms are Pm at (0.1653, 0.0000, 0.4990), Dy at (0.1472, 0.5000, 0.1630), Ho at (0.0192, 0.0000, 0.8341), Ho at (0.1852, 0.5000, 0.8352) and Tm at (0.0000, 0.5000, 0.5000).

Its density of states at the Fermi level is 12.1 states/eV/f.u. As for the total moment: 0.00 Bohr magnetons per cell. For the formation energy, the calculation gives 0.0 eV/f.u. The value obtained for the calculated total energy is -41.50 eV per formula unit.